Record 1
The following is a PBE calculation of a relaxed NpP3 crystal, from Alexandria via LeMat-Bulk.

Unit cell a=5.396 b=5.396 c=5.225 alpha=90.00 beta=90.00 gamma=120.00
Fractional positions:
Np 0.333 0.667 0.250
Np 0.667 0.333 0.750
P 0.184 0.368 0.750
P 0.184 0.816 0.750
P 0.368 0.184 0.250
P 0.632 0.816 0.750
P 0.816 0.184 0.250
P 0.816 0.632 0.250

Results
For the energy relative to the elements, the calculation gives -1.775 eV/f.u. The density of states at the Fermi level is 13.87 states/eV/cell.


Record 2
The following is a PBE calculation of a relaxed DyHo2TlN crystal, from Alexandria via LeMat-Bulk.

Unit cell a=4.794 b=4.794 c=4.820 alpha=90.00 beta=90.00 gamma=90.00
Fractional positions:
Dy 0.000 0.000 0.000
Ho 0.000 0.500 0.500
Ho 0.500 0.000 0.500
Tl 0.500 0.500 0.000
N 0.000 0.000 0.500

Results
The calculation puts the uncorrected formation energy at -0.945 eV/atom. The density of states at the Fermi level is 2.57 states/eV/cell.


Record 3
The following is a PBE calculation of a relaxed LiLaLuRu crystal, from Alexandria via LeMat-Bulk.

Unit cell a=4.986 b=4.986 c=4.986 alpha=60.00 beta=60.00 gamma=60.00
Fractional positions:
Li 0.000 0.000 0.000
La 0.250 0.250 0.250
Lu 0.750 0.750 0.750
Ru 0.500 0.500 0.500

Results
For the energy relative to the elements, the calculation gives -0.856 eV/f.u. The density of states at the Fermi level is 2.53 states/eV/cell.